(1)
A plane-wave DFT calculation with PBEsol was carried out for a relaxed TlAs2Rh crystal.

theoretical density = 10.25 g/cm³
formation energy = 1.16 eV per formula unit
energy above the most stable polymorph in this dataset = 408 meV per atom

Structure (CIF):
```
data_TlAs2Rh
_cell_length_a 5.477
_cell_length_b 7.684
_cell_length_c 3.519
_cell_angle_alpha 90.00
_cell_angle_beta 90.00
_cell_angle_gamma 90.00
_symmetry_space_group_name_H-M 'C m m m'
_symmetry_Int_Tables_number 65
_symmetry_space_group_name_Hall '-C 2 2'
loop_
_atom_site_label
_atom_site_type_symbol
_atom_site_fract_x
_atom_site_fract_y
_atom_site_fract_z
_atom_site_occupancy
Tl1 Tl 0.000 0.000 0.000 1
As1 As 0.250 0.250 0.500 1
Rh1 Rh 0.000 0.500 0.000 1
```

=====

(2)
A plane-wave DFT calculation with PBEsol was carried out for a relaxed AsRhW2 crystal.

theoretical density = 15.31 g/cm³
formation energy = 0.26 eV per formula unit

Structure (CIF):
```
data_AsRhW2
_cell_length_a 2.776
_cell_length_b 4.145
_cell_length_c 5.282
_cell_angle_alpha 90.00
_cell_angle_beta 103.25
_cell_angle_gamma 90.00
_symmetry_space_group_name_H-M 'P 1 m 1'
_symmetry_Int_Tables_number 6
_symmetry_space_group_name_Hall 'P -2y'
loop_
_atom_site_label
_atom_site_type_symbol
_atom_site_fract_x
_atom_site_fract_y
_atom_site_fract_z
_atom_site_occupancy
As1 As 0.000 0.000 0.000 1
Rh1 Rh 0.118 0.500 0.243 1
W1 W 0.419 0.500 0.765 1
W2 W 0.728 0.000 0.495 1
```

=====

(3)
A plane-wave DFT calculation with PBEsol was carried out for a relaxed As2RhW crystal.

theoretical density = 11.98 g/cm³
formation energy = -0.43 eV per formula unit
energy above the most stable polymorph in this dataset = 0 meV per atom

Structure (CIF):
```
data_As2RhW
_cell_length_a 3.006
_cell_length_b 4.633
_cell_length_c 4.345
_cell_angle_alpha 90.00
_cell_angle_beta 90.00
_cell_angle_gamma 90.00
_symmetry_space_group_name_H-M 'P m m 2'
_symmetry_Int_Tables_number 25
_symmetry_space_group_name_Hall 'P 2 -2'
loop_
_atom_site_label
_atom_site_type_symbol
_atom_site_fract_x
_atom_site_fract_y
_atom_site_fract_z
_atom_site_occupancy
As1 As 0.000 0.000 0.000 1
As2 As 0.500 0.500 0.272 1
Rh1 Rh 0.000 0.500 0.749 1
W1 W 0.500 0.000 0.518 1
```